Record 1
Compound: Pu3As2O
Source: Alexandria via LeMat-Bulk
Functional: PBE
Structure: optimized geometry

Uncorrected formation energy = -1.387 eV/atom
Polymorph energy (0 for the lowest one) = 0.28 eV/f.u.
Space group = No. 15

Cell: 6.187 7.116 14.163 Å, 88.03 85.46 64.23°
Sites, in units of the cell vectors:
Pu (0.610, 0.781, 0.250)
Pu (0.390, 0.219, 0.750)
Pu (0.515, 0.360, 0.130)
Pu (0.125, 0.360, 0.370)
Pu (0.485, 0.640, 0.870)
Pu (0.875, 0.640, 0.630)
Pu (0.662, 0.202, 0.528)
Pu (0.136, 0.202, 0.972)
Pu (0.338, 0.798, 0.472)
Pu (0.864, 0.798, 0.028)
Pu (0.979, 0.041, 0.250)
Pu (0.021, 0.959, 0.750)
As (0.576, 0.416, 0.344)
As (0.008, 0.416, 0.156)
As (0.424, 0.584, 0.656)
As (0.992, 0.584, 0.844)
As (0.337, 0.803, 0.073)
As (0.859, 0.803, 0.427)
As (0.663, 0.197, 0.927)
As (0.141, 0.197, 0.573)
O (0.709, 0.006, 0.162)
O (0.285, 0.006, 0.338)
O (0.291, 0.994, 0.838)
O (0.715, 0.994, 0.662)


Record 2
Compound: K4Pr3SbS8
Source: Alexandria via LeMat-Bulk
Functional: PBE
Structure: optimized geometry

Uncorrected formation energy = -1.553 eV/atom
Space group = No. 166

Cell: 8.397 8.836 8.397 Å, 118.38 120.00 90.00°
Sites, in units of the cell vectors:
K (0.500, 0.000, 0.000)
K (0.500, 0.000, 0.500)
K (0.000, 0.000, 0.000)
K (0.000, 0.000, 0.500)
Pr (0.500, 0.500, 0.000)
Pr (0.500, 0.500, 0.500)
Pr (0.000, 0.500, 0.500)
Sb (0.000, 0.500, 0.000)
S (0.232, 0.706, 0.975)
S (0.232, 0.706, 0.464)
S (0.263, 0.290, 0.527)
S (0.742, 0.706, 0.975)
S (0.258, 0.294, 0.025)
S (0.737, 0.710, 0.473)
S (0.768, 0.294, 0.536)
S (0.768, 0.294, 0.025)


Record 3
Compound: HoAlZn6Ga
Source: Alexandria via LeMat-Bulk
Functional: PBE
Structure: optimized geometry

Space group = No. 74
ΔH_f (0 K) = 0.1420 eV/atom

Cell: 5.411 9.805 8.809 Å, 123.82 107.89 90.00°
Sites, in units of the cell vectors:
Ho (0.819, 0.569, 0.638)
Ho (0.181, 0.431, 0.362)
Al (0.500, 0.000, 0.500)
Al (0.000, 0.000, 0.500)
Zn (0.414, 0.664, 0.828)
Zn (0.948, 0.198, 0.896)
Zn (0.911, 0.138, 0.310)
Zn (0.399, 0.672, 0.310)
Zn (0.399, 0.138, 0.310)
Zn (0.911, 0.672, 0.310)
Zn (0.586, 0.336, 0.172)
Zn (0.052, 0.802, 0.104)
Zn (0.089, 0.862, 0.690)
Zn (0.601, 0.328, 0.690)
Zn (0.601, 0.862, 0.690)
Zn (0.089, 0.328, 0.690)
Ga (0.500, 0.500, 0.000)
Ga (0.500, 0.000, 0.000)


Record 4
Compound: CsNa2GaPb
Source: Alexandria via LeMat-Bulk
Functional: PBE
Structure: optimized geometry

Polymorph energy (0 for the lowest one) = 0.13 eV/f.u.
Space group = No. 123
ΔH_f (0 K) = 0.0132 eV/atom

Cell: 6.106 6.106 5.728 Å, 90.00 90.00 90.00°
Sites, in units of the cell vectors:
Pb (0.000, 0.000, 0.000)
Cs (0.500, 0.500, 0.500)
Ga (0.000, 0.000, 0.500)
Na (0.000, 0.500, 0.000)
Na (0.500, 0.000, 0.000)


Record 5
Compound: MgNb4Os2
Source: Alexandria via LeMat-Bulk
Functional: PBE
Structure: optimized geometry

Space group = No. 139
ΔH_f (0 K) = 1.2740 eV/atom

Cell: 4.659 4.659 7.293 Å, 71.37 71.37 90.00°
Sites, in units of the cell vectors:
Nb (0.798, 0.798, 0.404)
Nb (0.202, 0.202, 0.596)
Nb (0.000, 0.500, 0.000)
Nb (0.500, 0.000, 0.000)
Os (0.613, 0.613, 0.775)
Os (0.387, 0.387, 0.225)
Mg (0.000, 0.000, 0.000)


Record 6
Compound: RbSbPbSe3
Source: Alexandria via LeMat-Bulk
Functional: PBE
Structure: optimized geometry

Uncorrected formation energy = -0.634 eV/atom
Space group = No. 11

Cell: 4.294 13.989 8.437 Å, 131.29 90.00 90.00°
Sites, in units of the cell vectors:
Rb (0.250, 0.327, 0.243)
Rb (0.750, 0.673, 0.757)
Sb (0.250, 0.666, 0.249)
Sb (0.750, 0.334, 0.751)
Pb (0.250, 0.010, 0.274)
Pb (0.750, 0.990, 0.726)
Se (0.750, 0.822, 0.273)
Se (0.250, 0.178, 0.727)
Se (0.250, 0.838, 0.703)
Se (0.750, 0.162, 0.297)
Se (0.750, 0.515, 0.219)
Se (0.250, 0.485, 0.781)


Record 7
Compound: TbHfAs2Rh5
Source: Alexandria via LeMat-Bulk
Functional: PBE
Structure: optimized geometry

Space group = No. 123
ΔH_f (0 K) = -0.5814 eV/atom

Cell: 4.038 4.038 10.923 Å, 90.00 90.00 90.00°
Sites, in units of the cell vectors:
Tb (0.000, 0.000, 0.500)
Hf (0.000, 0.000, 0.000)
As (0.500, 0.500, 0.283)
As (0.500, 0.500, 0.717)
Rh (0.000, 0.500, 0.165)
Rh (0.500, 0.000, 0.165)
Rh (0.000, 0.500, 0.835)
Rh (0.500, 0.000, 0.835)
Rh (0.500, 0.500, 0.500)


Record 8
Compound: CdNi
Source: Alexandria via LeMat-Bulk
Functional: PBE
Structure: optimized geometry

Space group = No. 194
ΔH_f (0 K) = 0.1028 eV/atom

Cell: 7.681 7.681 4.079 Å, 90.00 90.00 120.00°
Sites, in units of the cell vectors:
Cd (0.818, 0.636, 0.250)
Cd (0.182, 0.818, 0.750)
Cd (0.364, 0.182, 0.250)
Cd (0.182, 0.364, 0.750)
Cd (0.818, 0.182, 0.250)
Cd (0.636, 0.818, 0.750)
Ni (0.440, 0.880, 0.250)
Ni (0.560, 0.440, 0.750)
Ni (0.120, 0.560, 0.250)
Ni (0.560, 0.120, 0.750)
Ni (0.440, 0.560, 0.250)
Ni (0.880, 0.440, 0.750)


no.,magnetization (μB/f.u.)
1,5.34
2,0.00
3,0.00
4,0.00
5,0.00
6,0.00
7,0.00
8,0.00